## SrGaHIr2 (GGA-PBE)

Data for a relaxed structure of SrGaHIr2.

space-group type = P4/mmm, No. 123
E = -5.030 eV per atom

a b c (Å): 4.175 4.175 4.382
angles (deg): 90.00 90.00 90.00
Positions (direct):
Sr1 0.000 0.000 0.000
Ga1 0.500 0.500 0.000
H1 0.000 0.000 0.500
Ir1 0.000 0.500 0.500
Ir2 0.500 0.000 0.500

=====

## Ta2GaHIr (GGA-PBE)

Data for a relaxed structure of Ta2GaHIr.

space-group type = P4/mmm, No. 123
E = -7.991 eV per atom

a b c (Å): 4.134 4.134 3.969
angles (deg): 90.00 90.00 90.00
Positions (direct):
Ta1 0.000 0.500 0.000
Ta2 0.500 0.000 0.000
Ga1 0.000 0.000 0.500
H1 0.500 0.500 0.000
Ir1 0.500 0.500 0.500

=====

## TbGaHIr2 (GGA-PBE)

Data for a relaxed structure of TbGaHIr2.

space-group type = Cmcm, No. 63
E = -6.263 eV per atom

a b c (Å): 5.774 5.774 7.121
angles (deg): 90.00 90.00 139.54
Positions (direct):
Tb1 0.066 0.934 0.750
Tb2 0.934 0.066 0.250
Ga1 0.212 0.788 0.250
Ga2 0.788 0.212 0.750
H1 0.500 0.500 0.000
H2 0.500 0.500 0.500
Ir1 0.342 0.658 0.546
Ir2 0.342 0.658 0.954
Ir3 0.658 0.342 0.046
Ir4 0.658 0.342 0.454